No. 1
Here is an optimized crystal structure of Y2MgTl from Alexandria via LeMat-Bulk. Energies are from PBE.

Calculated values
The magnetization comes out at 0.04 μB per atom. The value obtained for the volume is 112 Å³/cell. The calculation puts the energy relative to the elements at -0.225 eV/atom.

Geometry as POSCAR:
```
Y2MgTl
1.0
3.728 0.000 0.000
0.000 4.874 0.000
-1.856 0.000 6.146
Y Mg Tl
2 1 1
direct
0.000 0.000 0.000
0.329 0.500 0.659
0.595 0.500 0.191
0.738 0.000 0.476
```

No. 2
Here is an optimized crystal structure of Y4MgTl3 from Alexandria via LeMat-Bulk. Energies are from PBE.

Calculated values
The magnetization comes out at 0.00 μB per atom. The value obtained for the volume is 218 Å³/cell. The calculation puts the energy relative to the elements at -0.323 eV/atom.

Geometry as POSCAR:
```
Y4MgTl3
1.0
8.042 -2.680 0.000
8.042 2.680 0.000
-1.782 0.000 5.056
Y Mg Tl
4 1 3
direct
0.125 0.125 0.125
0.375 0.375 0.375
0.625 0.625 0.625
0.875 0.875 0.875
0.000 0.000 0.500
0.245 0.245 0.745
0.500 0.500 0.000
0.755 0.755 0.255
```

No. 3
Here is an optimized crystal structure of Y6MgTl from Alexandria via LeMat-Bulk. Energies are from PBE.

Calculated values
The magnetization comes out at 0.00 μB per atom. The value obtained for the volume is 240 Å³/cell. The calculation puts the energy relative to the elements at -0.051 eV/atom. As for the energy above the most stable polymorph in this dataset: 76 meV per atom.

Geometry as POSCAR:
```
Y6MgTl
1.0
4.442 2.565 3.508
-4.442 2.565 3.508
0.000 -5.129 3.508
Y Mg Tl
6 1 1
direct
0.017 0.753 0.529
0.247 0.471 0.983
0.471 0.983 0.247
0.529 0.017 0.753
0.753 0.529 0.017
0.983 0.247 0.471
0.500 0.500 0.500
0.000 0.000 0.000
```

No. 4
Here is an optimized crystal structure of YMg2Tl from Alexandria via LeMat-Bulk. Energies are from PBE.

Calculated values
The magnetization comes out at 0.00 μB per atom. The value obtained for the volume is 105 Å³/cell. The calculation puts the energy relative to the elements at -0.091 eV/atom. As for the energy above the most stable polymorph in this dataset: 145 meV per atom.

Geometry as POSCAR:
```
YMg2Tl
1.0
5.281 -1.789 0.000
5.281 1.789 0.000
-1.400 0.000 5.547
Y Mg Tl
1 2 1
direct
0.000 0.000 0.000
0.237 0.237 0.697
0.490 0.490 0.501
0.756 0.756 0.235
```

No. 5
Here is an optimized crystal structure of Y2MgTl from Alexandria via LeMat-Bulk. Energies are from PBE.

Calculated values
The magnetization comes out at 0.00 μB per atom. The value obtained for the volume is 117 Å³/cell. The calculation puts the energy relative to the elements at -0.117 eV/atom.

Geometry as POSCAR:
```
Y2MgTl
1.0
1.824 1.053 10.187
-1.824 1.053 10.187
0.000 -2.106 10.187
Y Mg Tl
2 1 1
direct
0.249 0.249 0.249
0.751 0.751 0.751
0.000 0.000 0.000
0.500 0.500 0.500
```

No. 6
Here is an optimized crystal structure of Y3MgTl2 from Alexandria via LeMat-Bulk. Energies are from PBE.

Calculated values
The magnetization comes out at 0.00 μB per atom. The value obtained for the volume is 163 Å³/cell. The calculation puts the energy relative to the elements at -0.315 eV/atom. As for the energy above the most stable polymorph in this dataset: 0 meV per atom.

Geometry as POSCAR:
```
Y3MgTl2
1.0
2.655 -8.041 0.000
2.655 8.041 0.000
0.000 0.000 3.828
Y Mg Tl
3 1 2
direct
0.000 0.000 0.000
0.330 0.670 0.000
0.670 0.330 0.000
0.500 0.500 0.500
0.158 0.842 0.500
0.842 0.158 0.500
```

No. 7
Here is an optimized crystal structure of Y2MgTl from Alexandria via LeMat-Bulk. Energies are from PBE.

Calculated values
The magnetization comes out at 0.00 μB per atom. The value obtained for the volume is 108 Å³/cell. The calculation puts the energy relative to the elements at -0.269 eV/atom.

Geometry as POSCAR:
```
Y2MgTl
1.0
0.000 3.778 3.778
3.778 0.000 3.778
3.778 3.778 0.000
Y Mg Tl
2 1 1
direct
0.250 0.250 0.250
0.750 0.750 0.750
0.000 0.000 0.000
0.500 0.500 0.500
```

No. 8
Here is an optimized crystal structure of Y8MgTl2 from Alexandria via LeMat-Bulk. Energies are from PBE.

Calculated values
The magnetization comes out at 0.00 μB per atom. The value obtained for the volume is 327 Å³/cell. The calculation puts the energy relative to the elements at -0.155 eV/atom. As for the energy above the most stable polymorph in this dataset: 0 meV per atom.

Geometry as POSCAR:
```
Y8MgTl2
1.0
8.176 -2.710 0.000
8.176 2.710 0.000
-4.457 0.000 7.389
Y Mg Tl
8 1 2
direct
0.064 0.064 0.220
0.136 0.136 0.682
0.320 0.320 0.557
0.408 0.408 0.050
0.592 0.592 0.950
0.680 0.680 0.443
0.864 0.864 0.318
0.936 0.936 0.780
0.500 0.500 0.500
0.228 0.228 0.129
0.772 0.772 0.871
```

No. 9
Here is an optimized crystal structure of YMg11Tl from Alexandria via LeMat-Bulk. Energies are from PBE.

Calculated values
The magnetization comes out at 0.00 μB per atom. The value obtained for the volume is 310 Å³/cell. The calculation puts the energy relative to the elements at -0.033 eV/atom.

Geometry as POSCAR:
```
YMg11Tl
1.0
2.960 -7.241 0.000
2.960 7.241 0.000
-2.805 0.000 7.224
Y Mg Tl
1 11 1
direct
0.000 0.000 0.000
0.000 0.000 0.500
0.000 0.500 0.000
0.010 0.657 0.650
0.286 0.497 0.790
0.343 0.990 0.350
0.497 0.286 0.790
0.500 0.000 0.000
0.503 0.714 0.210
0.657 0.010 0.650
0.714 0.503 0.210
0.990 0.343 0.350
0.500 0.500 0.500
```

No. 10
Here is an optimized crystal structure of Y2MgTl from Alexandria via LeMat-Bulk. Energies are from PBE.

Calculated values
The magnetization comes out at 0.00 μB per atom. The value obtained for the volume is 242 Å³/cell. The calculation puts the energy relative to the elements at 0.106 eV/atom.

Geometry as POSCAR:
```
Y2MgTl
1.0
-4.217 4.217 3.405
4.217 -4.217 3.405
4.217 4.217 -3.405
Y Mg Tl
4 2 2
direct
0.109 0.625 0.984
0.375 0.359 0.484
0.641 0.125 0.016
0.875 0.891 0.516
0.250 0.750 0.500
0.500 0.500 0.000
0.000 0.000 0.000
0.750 0.250 0.500
```

No. 11
Here is an optimized crystal structure of Y2MgTl from Alexandria via LeMat-Bulk. Energies are from PBE.

Calculated values
The magnetization comes out at 0.00 μB per atom. The value obtained for the volume is 110 Å³/cell. The calculation puts the energy relative to the elements at -0.210 eV/atom.

Geometry as POSCAR:
```
Y2MgTl
1.0
-1.872 2.633 5.589
1.872 -2.633 5.589
1.872 2.633 -5.589
Y Mg Tl
2 1 1
direct
0.000 0.000 0.000
0.735 0.235 0.500
0.468 0.468 0.000
0.260 0.760 0.500
```

No. 12
Here is an optimized crystal structure of Y2MgTl from Alexandria via LeMat-Bulk. Energies are from PBE.

Calculated values
The magnetization comes out at 0.00 μB per atom. The value obtained for the volume is 116 Å³/cell. The calculation puts the energy relative to the elements at -0.130 eV/atom.

Geometry as POSCAR:
```
Y2MgTl
1.0
5.172 -1.840 0.000
5.172 1.840 0.000
-1.318 0.000 6.113
Y Mg Tl
2 1 1
direct
0.247 0.247 0.247
0.753 0.753 0.753
0.000 0.000 0.500
0.500 0.500 0.000
```

No. 13
Here is an optimized crystal structure of Y4Mg3Tl from Alexandria via LeMat-Bulk. Energies are from PBE.

Calculated values
The magnetization comes out at 0.00 μB per atom. The value obtained for the volume is 218 Å³/cell. The calculation puts the energy relative to the elements at -0.198 eV/atom.

Geometry as POSCAR:
```
Y4Mg3Tl
1.0
2.680 1.548 8.779
-2.680 1.548 8.779
0.000 -3.095 8.779
Y Mg Tl
4 3 1
direct
0.125 0.125 0.125
0.375 0.375 0.375
0.625 0.625 0.625
0.875 0.875 0.875
0.246 0.246 0.246
0.500 0.500 0.500
0.754 0.754 0.754
0.000 0.000 0.000
```

No. 14
Here is an optimized crystal structure of Y2Mg3Tl4 from Alexandria via LeMat-Bulk. Energies are from PBE.

Calculated values
The magnetization comes out at 0.00 μB per atom. The value obtained for the volume is 461 Å³/cell. The calculation puts the energy relative to the elements at -0.171 eV/atom.

Geometry as POSCAR:
```
Y2Mg3Tl4
1.0
3.255 -8.349 0.000
3.255 8.349 0.000
0.000 0.000 8.486
Y Mg Tl
4 6 8
direct
0.105 0.895 0.909
0.395 0.605 0.409
0.605 0.395 0.591
0.895 0.105 0.091
0.000 0.000 0.500
0.024 0.476 0.750
0.476 0.024 0.250
0.500 0.500 0.000
0.524 0.976 0.750
0.976 0.524 0.250
0.177 0.823 0.535
0.199 0.301 0.750
0.301 0.199 0.250
0.323 0.677 0.035
0.677 0.323 0.965
0.699 0.801 0.750
0.801 0.699 0.250
0.823 0.177 0.465
```

No. 15
Here is an optimized crystal structure of Y6MgTl5 from Alexandria via LeMat-Bulk. Energies are from PBE.

Calculated values
The magnetization comes out at 0.00 μB per atom. The value obtained for the volume is 328 Å³/cell. The calculation puts the energy relative to the elements at -0.346 eV/atom.

Geometry as POSCAR:
```
Y6MgTl5
1.0
-2.685 3.776 8.077
2.685 -3.776 8.077
2.685 3.776 -8.077
Y Mg Tl
6 1 5
direct
0.079 0.331 0.748
0.244 0.000 0.244
0.416 0.669 0.748
0.584 0.331 0.252
0.756 0.000 0.756
0.921 0.669 0.252
0.500 0.500 0.000
0.000 0.500 0.500
0.168 0.168 0.000
0.342 0.842 0.500
0.658 0.158 0.500
0.832 0.832 0.000
```

No. 16
Here is an optimized crystal structure of Y2MgTl from Alexandria via LeMat-Bulk. Energies are from PBE.

Calculated values
The magnetization comes out at 0.00 μB per atom. The value obtained for the volume is 112 Å³/cell. The calculation puts the energy relative to the elements at -0.119 eV/atom.

Geometry as POSCAR:
```
Y2MgTl
1.0
3.566 0.000 0.000
0.000 4.773 0.000
0.000 0.000 6.605
Y Mg Tl
2 1 1
direct
0.000 0.000 0.000
0.500 0.500 0.282
0.000 0.000 0.502
0.500 0.500 0.772
```

No. 17
Here is an optimized crystal structure of YMg2Tl from Alexandria via LeMat-Bulk. Energies are from PBE.

Calculated values
The magnetization comes out at 0.10 μB per atom. The value obtained for the volume is 101 Å³/cell. The calculation puts the energy relative to the elements at -0.139 eV/atom. As for the energy above the most stable polymorph in this dataset: 97 meV per atom.

Geometry as POSCAR:
```
YMg2Tl
1.0
3.646 0.000 0.000
0.000 3.646 0.000
0.000 0.000 7.610
Y Mg Tl
1 2 1
direct
0.000 0.000 0.000
0.000 0.000 0.499
0.500 0.500 0.277
0.500 0.500 0.724
```

No. 18
Here is an optimized crystal structure of Y3MgTl2 from Alexandria via LeMat-Bulk. Energies are from PBE.

Calculated values
The magnetization comes out at 0.00 μB per atom. The value obtained for the volume is 163 Å³/cell. The calculation puts the energy relative to the elements at -0.302 eV/atom. As for the energy above the most stable polymorph in this dataset: 13 meV per atom.

Geometry as POSCAR:
```
Y3MgTl2
1.0
3.782 0.000 0.000
0.000 3.782 0.000
0.000 0.000 11.428
Y Mg Tl
3 1 2
direct
0.000 0.000 0.000
0.000 0.000 0.339
0.000 0.000 0.661
0.500 0.500 0.500
0.500 0.500 0.175
0.500 0.500 0.825
```

No. 19
Here is an optimized crystal structure of Y2MgTl from Alexandria via LeMat-Bulk. Energies are from PBE.

Calculated values
The magnetization comes out at 0.00 μB per atom. The value obtained for the volume is 112 Å³/cell. The calculation puts the energy relative to the elements at 0.089 eV/atom.

Geometry as POSCAR:
```
Y2MgTl
1.0
0.000 3.824 3.824
3.824 0.000 3.824
3.824 3.824 0.000
Y Mg Tl
2 1 1
direct
0.000 0.000 0.000
0.250 0.250 0.250
0.750 0.750 0.750
0.500 0.500 0.500
```

No. 20
Here is an optimized crystal structure of YMg2Tl from Alexandria via LeMat-Bulk. Energies are from PBE.

Calculated values
The magnetization comes out at 0.09 μB per atom. The value obtained for the volume is 104 Å³/cell. The calculation puts the energy relative to the elements at -0.086 eV/atom. As for the energy above the most stable polymorph in this dataset: 150 meV per atom.

Geometry as POSCAR:
```
YMg2Tl
1.0
2.534 -2.538 0.000
2.534 2.538 0.000
0.000 0.000 8.079
Y Mg Tl
1 2 1
direct
0.000 0.000 0.000
0.500 0.500 0.274
0.500 0.500 0.726
0.000 0.000 0.500
```

No. 21
Here is an optimized crystal structure of Y6MgTl from Alexandria via LeMat-Bulk. Energies are from PBE.

Calculated values
The magnetization comes out at 0.00 μB per atom. The value obtained for the volume is 241 Å³/cell. The calculation puts the energy relative to the elements at -0.127 eV/atom. As for the energy above the most stable polymorph in this dataset: 0 meV per atom.

Geometry as POSCAR:
```
Y6MgTl
1.0
-2.536 2.536 9.358
2.536 -2.536 9.358
2.536 2.536 -9.358
Y Mg Tl
6 1 1
direct
0.115 0.615 0.500
0.248 0.248 0.000
0.385 0.885 0.500
0.615 0.115 0.500
0.752 0.752 0.000
0.885 0.385 0.500
0.000 0.000 0.000
0.500 0.500 0.000
```

No. 22
Here is an optimized crystal structure of Y2MgTl2 from Alexandria via LeMat-Bulk. Energies are from PBE.

Calculated values
The magnetization comes out at 0.00 μB per atom. The value obtained for the volume is 274 Å³/cell. The calculation puts the energy relative to the elements at -0.322 eV/atom. As for the energy above the most stable polymorph in this dataset: 0 meV per atom.

Geometry as POSCAR:
```
Y2MgTl2
1.0
7.790 0.000 0.000
0.000 7.790 0.000
0.000 0.000 4.516
Y Mg Tl
4 2 4
direct
0.168 0.332 0.000
0.332 0.832 0.000
0.668 0.168 0.000
0.832 0.668 0.000
0.000 0.000 0.500
0.500 0.500 0.500
0.138 0.638 0.500
0.362 0.138 0.500
0.638 0.862 0.500
0.862 0.362 0.500
```

No. 23
Here is an optimized crystal structure of YMg4Tl2 from Alexandria via LeMat-Bulk. Energies are from PBE.

Calculated values
The magnetization comes out at 0.00 μB per atom. The value obtained for the volume is 176 Å³/cell. The calculation puts the energy relative to the elements at -0.075 eV/atom. As for the energy above the most stable polymorph in this dataset: 38 meV per atom.

Geometry as POSCAR:
```
YMg4Tl2
1.0
2.231 -8.860 0.000
2.231 8.860 0.000
0.000 0.000 4.442
Y Mg Tl
1 4 2
direct
0.000 0.000 0.000
0.185 0.815 0.500
0.313 0.687 0.000
0.687 0.313 0.000
0.815 0.185 0.500
0.419 0.581 0.500
0.581 0.419 0.500
```

No. 24
Here is an optimized crystal structure of YMg2Tl from Alexandria via LeMat-Bulk. Energies are from PBE.

Calculated values
The magnetization comes out at 0.00 μB per atom. The value obtained for the volume is 104 Å³/cell. The calculation puts the energy relative to the elements at -0.123 eV/atom. As for the energy above the most stable polymorph in this dataset: 114 meV per atom.

Geometry as POSCAR:
```
YMg2Tl
1.0
-2.289 2.289 4.945
2.289 -2.289 4.945
2.289 2.289 -4.945
Y Mg Tl
1 2 1
direct
0.000 0.000 0.000
0.250 0.750 0.500
0.750 0.250 0.500
0.500 0.500 0.000
```

No. 25
Here is an optimized crystal structure of Y2MgTl from Alexandria via LeMat-Bulk. Energies are from PBE.

Calculated values
The magnetization comes out at 0.04 μB per atom. The value obtained for the volume is 108 Å³/cell. The calculation puts the energy relative to the elements at -0.266 eV/atom.

Geometry as POSCAR:
```
Y2MgTl
1.0
5.030 0.000 0.000
0.000 5.030 0.000
0.000 0.000 4.271
Y Mg Tl
2 1 1
direct
0.000 0.500 0.000
0.500 0.000 0.000
0.000 0.000 0.500
0.500 0.500 0.500
```

No. 26
Here is an optimized crystal structure of YMg2Tl from Alexandria via LeMat-Bulk. Energies are from PBE.

Calculated values
The magnetization comes out at 0.00 μB per atom. The value obtained for the volume is 99 Å³/cell. The calculation puts the energy relative to the elements at -0.236 eV/atom. As for the energy above the most stable polymorph in this dataset: 0 meV per atom.

Geometry as POSCAR:
```
YMg2Tl
1.0
4.450 0.000 0.000
0.000 4.634 0.000
0.000 0.000 4.817
Y Mg Tl
1 2 1
direct
0.000 0.000 0.000
0.000 0.500 0.500
0.500 0.000 0.500
0.500 0.500 0.000
```